[1]
PBE NaSb2PI, optimized geometry; E_form (uncorrected) = 179 meV/atom; relative energy among the computed polymorphs = 0 kJ/mol of formula units
1.0
5.036 0.000 0.000
0.000 5.036 0.000
0.000 0.000 9.042
Na Sb P I
1 2 1 1
Cartesian
0.000 0.000 0.000
0.000 2.518 4.521
2.518 0.000 4.521
2.518 2.518 4.521
2.518 2.518 0.000


[2]
PBE NaSbPI2, optimized geometry; E_form (uncorrected) = 61 meV/atom; relative energy among the computed polymorphs = 0 kJ/mol of formula units
1.0
5.951 0.000 0.000
0.000 5.951 0.000
0.000 0.000 5.107
Na Sb P I
1 1 1 2
Cartesian
0.000 0.000 0.000
2.976 2.976 0.000
2.976 2.976 2.553
0.000 2.976 2.553
2.976 0.000 2.553


[3]
PBE NaSb2PI, optimized geometry; E_form (uncorrected) = 1082 meV/atom; relative energy among the computed polymorphs = 436 kJ/mol of formula units
1.0
5.569 0.000 0.000
0.000 5.569 0.000
0.000 0.000 5.491
Na Sb P I
1 2 1 1
Cartesian
0.000 0.000 0.000
0.000 2.784 0.000
2.784 0.000 0.000
2.784 2.784 2.746
0.000 0.000 2.746


[4]
PBE NaSbPI2, optimized geometry; E_form (uncorrected) = 781 meV/atom; relative energy among the computed polymorphs = 347 kJ/mol of formula units
1.0
5.658 0.000 0.000
0.000 5.658 0.000
0.000 0.000 6.372
Na Sb P I
1 1 1 2
Cartesian
0.000 0.000 0.000
0.000 0.000 3.186
2.829 2.829 3.186
0.000 2.829 0.000
2.829 0.000 0.000


[5]
PBE NaTe2PI, optimized geometry; E_form (uncorrected) = 903 meV/atom; relative energy among the computed polymorphs = 428 kJ/mol of formula units
1.0
5.743 0.000 0.000
0.000 5.743 0.000
0.000 0.000 5.664
Na Te P I
1 2 1 1
Cartesian
0.000 0.000 0.000
0.000 2.872 0.000
2.872 0.000 0.000
2.872 2.872 2.832
0.000 0.000 2.832


[6]
PBE NaTe2PI, optimized geometry; E_form (uncorrected) = 15 meV/atom; relative energy among the computed polymorphs = 0 kJ/mol of formula units
1.0
5.364 0.000 0.000
0.000 5.364 0.000
0.000 0.000 5.679
Na Te P I
1 2 1 1
Cartesian
0.000 0.000 0.000
0.000 2.682 2.840
2.682 0.000 2.840
2.682 2.682 2.840
2.682 2.682 0.000


[7]
PBE NaPaI5, optimized geometry; E_form (uncorrected) = -996 meV/atom
1.0
5.939 -5.944 0.000
5.939 5.944 0.000
-5.685 0.000 10.610
Na Pa I
2 2 10
Cartesian
1.675 4.594 7.957
4.518 -4.594 2.652
2.969 2.972 0.000
0.127 -2.972 5.305
-3.441 0.048 10.599
-0.598 -0.048 5.295
-0.232 2.318 9.052
4.518 2.410 2.652
3.581 2.318 6.862
2.611 -2.318 3.747
1.675 -2.410 7.957
6.424 -2.318 1.558
6.791 0.048 5.315
9.634 -0.048 0.010


[8]
PBE NaPaI2, optimized geometry; E_form (uncorrected) = -303 meV/atom
1.0
3.952 0.000 0.000
-1.976 3.422 0.000
0.000 0.000 31.051
Na Pa I
3 3 6
Cartesian
0.000 0.000 0.000
0.000 2.282 20.700
1.976 1.141 10.350
0.000 0.000 15.525
0.000 2.282 5.175
1.976 1.141 25.875
0.000 0.000 12.462
0.000 0.000 18.588
0.000 2.282 2.112
0.000 2.282 8.238
1.976 1.141 22.813
1.976 1.141 28.938


Calculated total magnetic moment, 0.00, 0.42, 0.94, 0.63, 0.12, 0.00, 1.00, 2.50 μB per formula unit (same order as the records).